# Nd8Dy4Ho3

A relaxed Nd8Dy4Ho3 crystal (GGA-PBE, Alexandria via LeMat-Bulk).

Unit cell a=6.9007 b=9.2133 c=9.2133 alpha=82.91 beta=110.79 gamma=110.79
With the nearest neighbours (Å) after each atom.
Atoms (fractional coordinates):
Dy 0.5000 0.0000 0.0000  2 Nd 3.01
Ho 0.5000 0.0000 0.5000  8 Nd 3.38-3.64, 2 Dy 3.45
Nd 0.8213 0.2969 0.2969  4 Nd 3.44-3.58, 3 Dy 3.46-3.62, 2 Ho 3.64
Nd 0.7174 0.7551 0.7551  1 Dy 3.00, 1 Ho 3.11
Nd 0.5000 0.7533 0.2467  1 Dy 3.01, 1 Ho 3.09
Ho 0.5000 0.5000 0.0000  8 Nd 3.38-3.64, 2 Dy 3.45
Dy 0.0000 0.0000 0.5000  2 Ho 3.45, 8 Nd 3.46-3.64
Dy 0.0000 0.0000 0.0000  2 Nd 3.00
Nd 0.0000 0.2949 0.7051  3 Dy 3.50-3.60, 4 Nd 3.50-3.52, 2 Ho 3.58
Nd 0.0000 0.7051 0.2949  3 Dy 3.50-3.60, 4 Nd 3.50-3.52, 2 Ho 3.58
Nd 0.2826 0.2449 0.2449  1 Dy 3.00, 1 Ho 3.11
Dy 0.0000 0.5000 0.0000  2 Ho 3.45, 8 Nd 3.46-3.64
Ho 0.5000 0.5000 0.5000  4 Nd 3.09-3.11
Nd 0.1787 0.7031 0.7031  4 Nd 3.44-3.58, 3 Dy 3.46-3.62, 2 Ho 3.64
Nd 0.5000 0.2467 0.7533  1 Dy 3.01, 1 Ho 3.09

Summary:
The energy relative to the lowest polymorph listed for this composition comes out at 0.182 eV per atom. Its symmetry is C2/m (12). For the uncorrected energy, the calculation gives -4.3503 eV/atom. The energy of formation is 0.335 eV per atom.

# NdDy10Ho4

A relaxed NdDy10Ho4 crystal (GGA-PBE, Alexandria via LeMat-Bulk).

Unit cell a=7.6656 b=9.3964 c=9.3964 alpha=80.42 beta=65.93 gamma=65.93
With the nearest neighbours (Å) after each atom.
Atoms (fractional coordinates):
Dy 0.7500 0.5000 0.5000  4 Ho 3.32
Dy 0.4536 0.8988 0.6978  3 Ho 3.31-3.32, 1 Nd 3.35
Ho 0.6000 0.2002 0.5997  8 Dy 3.31-3.32
Dy 0.9498 0.8988 0.6978  3 Ho 3.31-3.32, 1 Nd 3.35
Dy 0.8487 0.6978 0.1012  3 Ho 3.31-3.32, 1 Nd 3.35
Nd 0.0000 0.0000 0.0000  8 Dy 3.35
Dy 0.3524 0.6978 0.1012  3 Ho 3.31-3.32, 1 Nd 3.35
Ho 0.8002 0.5997 0.7998  8 Dy 3.31-3.32
Dy 0.2500 0.5000 0.5000  4 Ho 3.32
Dy 0.5464 0.1012 0.3022  3 Ho 3.31-3.32, 1 Nd 3.35
Dy 0.1513 0.3022 0.8988  3 Ho 3.31-3.32, 1 Nd 3.35
Dy 0.0502 0.1012 0.3022  3 Ho 3.31-3.32, 1 Nd 3.35
Ho 0.4000 0.7998 0.4003  8 Dy 3.31-3.32
Dy 0.6476 0.3022 0.8988  3 Ho 3.31-3.32, 1 Nd 3.35
Ho 0.1998 0.4003 0.2002  8 Dy 3.31-3.32

Summary:
Its symmetry is I4/m (87). For the uncorrected energy, the calculation gives -3.8734 eV/atom. The energy of formation is 0.733 eV per atom.

# Nd3Dy2Ho6

A relaxed Nd3Dy2Ho6 crystal (GGA-PBE, Alexandria via LeMat-Bulk).

Unit cell a=4.7520 b=4.7520 c=16.9448 alpha=98.06 beta=98.06 gamma=90.00
With the nearest neighbours (Å) after each atom.
Atoms (fractional coordinates):
Dy 0.4538 0.4538 0.9076  1 Dy 3.07, 4 Ho 3.42
Nd 0.0000 0.0000 0.0000  8 Dy 3.69
Ho 0.8796 0.3796 0.7592  6 Ho 3.36-3.38, 2 Dy 3.42, 2 Nd 3.65
Dy 0.5462 0.5462 0.0924  1 Dy 3.07, 4 Ho 3.42
Nd 0.7964 0.7964 0.5928  9 Ho 3.38-3.65
Ho 0.6204 0.1204 0.2408  6 Ho 3.36-3.38, 2 Dy 3.42, 2 Nd 3.65
Ho 0.3796 0.8796 0.7592  6 Ho 3.36-3.38, 2 Dy 3.42, 2 Nd 3.65
Ho 0.1204 0.6204 0.2408  6 Ho 3.36-3.38, 2 Dy 3.42, 2 Nd 3.65
Ho 0.6926 0.6926 0.3852  4 Ho 3.38, 5 Nd 3.38-3.45
Ho 0.3074 0.3074 0.6148  4 Ho 3.38, 5 Nd 3.38-3.45
Nd 0.2036 0.2036 0.4072  9 Ho 3.38-3.65

Summary:
The energy relative to the lowest polymorph listed for this composition comes out at 0.115 eV per atom. Its symmetry is I4/mmm (139). For the uncorrected energy, the calculation gives -4.3607 eV/atom. The energy of formation is 0.273 eV per atom.

# Nd2DyHo9

A relaxed Nd2DyHo9 crystal (GGA-PBE, Alexandria via LeMat-Bulk).

Unit cell a=5.0217 b=5.0217 c=15.0628 alpha=90.00 beta=90.00 gamma=90.00
With the nearest neighbours (Å) after each atom.
Atoms (fractional coordinates):
Ho 0.0000 0.5000 0.1647  2 Dy 3.53, 8 Ho 3.53-3.56, 2 Nd 3.57
Ho 0.0000 0.5000 0.8353  2 Dy 3.53, 8 Ho 3.53-3.56, 2 Nd 3.57
Dy 0.0000 0.0000 0.0000  12 Ho 3.53-3.55
Ho 0.5000 0.5000 0.6680  4 Nd 3.55, 8 Ho 3.56
Ho 0.5000 0.5000 0.0000  8 Ho 3.53, 4 Dy 3.55
Nd 0.0000 0.0000 0.3327  12 Ho 3.55-3.57
Nd 0.0000 0.0000 0.6673  12 Ho 3.55-3.57
Ho 0.5000 0.0000 0.5000  8 Ho 3.55-3.56, 4 Nd 3.56
Ho 0.5000 0.5000 0.3320  4 Nd 3.55, 8 Ho 3.56
Ho 0.5000 0.0000 0.8353  2 Dy 3.53, 8 Ho 3.53-3.56, 2 Nd 3.57
Ho 0.0000 0.5000 0.5000  8 Ho 3.55-3.56, 4 Nd 3.56
Ho 0.5000 0.0000 0.1647  2 Dy 3.53, 8 Ho 3.53-3.56, 2 Nd 3.57

Summary:
The energy relative to the lowest polymorph listed for this composition comes out at 0.000 eV per atom. Its symmetry is P4/mmm (123). For the uncorrected energy, the calculation gives -4.5888 eV/atom. The energy of formation is 0.023 eV per atom.

Q: The lowest energy of formation belongs to which entry?
A: Nd2DyHo9

Repeat the first record exactly.
# Nd8Dy4Ho3

A relaxed Nd8Dy4Ho3 crystal (GGA-PBE, Alexandria via LeMat-Bulk).

Unit cell a=6.9007 b=9.2133 c=9.2133 alpha=82.91 beta=110.79 gamma=110.79
With the nearest neighbours (Å) after each atom.
Atoms (fractional coordinates):
Dy 0.5000 0.0000 0.0000  2 Nd 3.01
Ho 0.5000 0.0000 0.5000  8 Nd 3.38-3.64, 2 Dy 3.45
Nd 0.8213 0.2969 0.2969  4 Nd 3.44-3.58, 3 Dy 3.46-3.62, 2 Ho 3.64
Nd 0.7174 0.7551 0.7551  1 Dy 3.00, 1 Ho 3.11
Nd 0.5000 0.7533 0.2467  1 Dy 3.01, 1 Ho 3.09
Ho 0.5000 0.5000 0.0000  8 Nd 3.38-3.64, 2 Dy 3.45
Dy 0.0000 0.0000 0.5000  2 Ho 3.45, 8 Nd 3.46-3.64
Dy 0.0000 0.0000 0.0000  2 Nd 3.00
Nd 0.0000 0.2949 0.7051  3 Dy 3.50-3.60, 4 Nd 3.50-3.52, 2 Ho 3.58
Nd 0.0000 0.7051 0.2949  3 Dy 3.50-3.60, 4 Nd 3.50-3.52, 2 Ho 3.58
Nd 0.2826 0.2449 0.2449  1 Dy 3.00, 1 Ho 3.11
Dy 0.0000 0.5000 0.0000  2 Ho 3.45, 8 Nd 3.46-3.64
Ho 0.5000 0.5000 0.5000  4 Nd 3.09-3.11
Nd 0.1787 0.7031 0.7031  4 Nd 3.44-3.58, 3 Dy 3.46-3.62, 2 Ho 3.64
Nd 0.5000 0.2467 0.7533  1 Dy 3.01, 1 Ho 3.09

Summary:
The energy relative to the lowest polymorph listed for this composition comes out at 0.182 eV per atom. Its symmetry is C2/m (12). For the uncorrected energy, the calculation gives -4.3503 eV/atom. The energy of formation is 0.335 eV per atom.

Q: What is the uncorrected energy in the fourth record?
A: -4.5888 eV/atom